Entry 1:
# AsIrAu

AsIrAu after structural relaxation (PBE, OQMD via LeMat-Bulk).

a = 4.3756 Å, b = 4.3756 Å, c = 4.3756 Å
α = 60.00°, β = 60.00°, γ = 60.00°
Positions (direct):
As: 0.2500 0.2500 0.2500
Au: 0.0000 0.0000 0.0000
Ir: 0.7500 0.7500 0.7500

- uncorrected energy (eV per atom) = -4.79
- V (Å³/atom) = 19.75

=====

Entry 2:
# SrZn3Ir2

SrZn3Ir2 after structural relaxation (PBE, OQMD via LeMat-Bulk).

a = 6.3865 Å, b = 6.3865 Å, c = 5.6838 Å
α = 90.00°, β = 90.00°, γ = 80.10°
Positions (direct):
Zn: 0.4592 0.5408 0.2500
Zn: 0.5677 0.0372 0.7500
Zn: 0.9628 0.4323 0.7500
Zn: 0.5408 0.4592 0.7500
Zn: 0.4323 0.9628 0.2500
Zn: 0.0372 0.5677 0.2500
Ir: 0.2841 0.2841 0.5000
Ir: 0.7159 0.7159 0.0000
Ir: 0.7159 0.7159 0.5000
Ir: 0.2841 0.2841 0.0000
Sr: 0.1581 0.8419 0.7500
Sr: 0.8419 0.1581 0.2500

- uncorrected energy (eV per atom) = -4.19
- V (Å³/atom) = 19.03